A plane-wave DFT calculation with PBE with a Hubbard U was carried out for Li2NiSn3P6O24 after structural relaxation.

The electronic total energy is -6.6430 eV/atom. As for the space group: R3. The total magnetization comes out at 4.22 μB per cell.

abc: 8.830 8.830 8.830
angles: 59.40 59.40 59.40
Sites, in units of the cell vectors:
Li1 0.000 0.000 0.000
Li2 0.484 0.484 0.484
Ni1 0.130 0.130 0.130
Sn1 0.340 0.340 0.340
Sn2 0.628 0.628 0.628
Sn3 0.842 0.842 0.842
P1 0.030 0.737 0.437
P2 0.234 0.527 0.941
P3 0.437 0.030 0.737
P4 0.527 0.941 0.234
P5 0.737 0.437 0.030
P6 0.941 0.234 0.527
O1 0.052 0.897 0.248
O2 0.072 0.718 0.925
O3 0.093 0.295 0.498
O4 0.180 0.371 0.978
O5 0.221 0.572 0.422
O6 0.248 0.052 0.897
O7 0.295 0.498 0.093
O8 0.371 0.978 0.180
O9 0.396 0.547 0.748
O10 0.422 0.221 0.572
O11 0.474 0.872 0.681
O12 0.498 0.093 0.295
O13 0.547 0.748 0.396
O14 0.572 0.422 0.221
O15 0.598 0.995 0.787
O16 0.681 0.474 0.872
O17 0.718 0.925 0.072
O18 0.748 0.396 0.547
O19 0.787 0.598 0.995
O20 0.872 0.681 0.474
O21 0.897 0.248 0.052
O22 0.925 0.072 0.718
O23 0.978 0.180 0.371
O24 0.995 0.787 0.598